Record 1
TcPb2C2, relaxed, DFT GGA-PBE; total magnetization = 0.000 Bohr magnetons per cell; density of states at the Fermi level = 0.351 states/eV per atom; raw total energy = -5.94 eV/atom; formation energy from the elements = 1.31 eV per atom; crystal system = tetragonal
1.0
-0.981 0.738 5.827
1.490 -5.683 0.971
4.954 1.411 0.655
Pb Tc C
4 2 4
Direct
0.814 0.314 0.500
0.186 0.686 0.500
0.314 0.186 0.500
0.686 0.814 0.500
0.500 0.500 0.000
0.000 0.000 0.000
0.755 0.745 0.000
0.255 0.755 0.000
0.245 0.255 0.000
0.745 0.245 0.000

=====

Record 2
NpBe2PH2, relaxed, DFT GGA-PBE; total magnetization = 8.631 Bohr magnetons per cell; density of states at the Fermi level = 0.873 states/eV per atom; raw total energy = -5.52 eV/atom; crystal system = monoclinic
1.0
4.618 0.000 0.000
0.000 5.806 -0.514
0.000 -2.652 5.274
H Be P Np
4 4 2 2
Direct
0.750 0.355 0.372
0.750 0.807 0.590
0.250 0.193 0.410
0.250 0.645 0.628
0.498 0.170 0.206
0.998 0.830 0.794
0.502 0.830 0.794
0.002 0.170 0.206
0.250 0.214 0.921
0.750 0.786 0.079
0.750 0.235 0.687
0.250 0.765 0.313

=====

Record 3
Pm4Mg, relaxed, DFT GGA-PBE; total magnetization = 0.000 Bohr magnetons per cell; density of states at the Fermi level = 1.506 states/eV per atom; raw total energy = -3.58 eV/atom; formation energy from the elements = 0.54 eV per atom; crystal system = cubic
1.0
5.748 0.000 0.000
0.000 5.748 0.000
0.000 0.000 5.748
Pm Mg
4 1
Direct
0.000 0.000 0.000
0.000 0.500 0.500
0.500 0.500 0.000
0.500 0.000 0.500
0.500 0.500 0.500